Entry from Alexandria: crystalline NiPd at its relaxed geometry (PBE).

Lattice parameters (Å, degrees): 2.6772 4.0648 5.1001 90.00 105.18 90.00
Space group P2_1/m (No. 11)
Inequivalent atoms, fractional coordinates:
1 Ni 0.0622 0.2500 0.1305 [2 per cell]
2 Pd 0.3311 0.2500 0.6588 [2 per cell]

Values from the calculation:
Mass density   10.24 g/cm3
Energy of formation from the pure elements   63 meV per atom
N(E_F)   3.8 states/eV/f.u.